(1)
A relaxed structure of Tb6Nd3Ho2Pu, computed with PBE.

- Formation energy: 0.045 eV per atom
- Calculated volume: 385.3 Å³/cell
- Spin magnetization: 6.6 μB/cell
- Final energy: -5.419 eV/atom

Lattice parameters (Å, degrees): 6.191 6.191 11.794 95.04 95.04 120.02
Positions (direct):
Tb1 0.081 0.411 0.244
Tb2 0.248 0.248 0.756
Tb3 0.411 0.081 0.244
Tb4 0.589 0.919 0.756
Tb5 0.919 0.589 0.756
Tb6 0.752 0.752 0.244
Ho1 0.667 0.333 0.000
Ho2 0.333 0.667 0.000
Nd1 0.167 0.833 0.500
Nd2 0.500 0.500 0.500
Nd3 0.833 0.167 0.500
Pu1 0.000 0.000 0.000

=====

(2)
A relaxed structure of Nd2Ho3PuTe6, computed with PBE.

- Calculated volume: 362.9 Å³/cell
- Spin magnetization: 6.1 μB/cell
- Final energy: -6.003 eV/atom

Lattice parameters (Å, degrees): 4.372 8.881 9.880 103.75 102.78 90.00
Positions (direct):
Ho1 0.500 0.500 0.000
Ho2 0.832 0.164 0.663
Ho3 0.168 0.836 0.337
Te1 0.003 0.747 0.007
Te2 0.332 0.924 0.665
Te3 0.663 0.592 0.327
Te4 0.668 0.076 0.335
Te5 0.337 0.408 0.673
Te6 0.997 0.253 0.993
Nd1 0.167 0.334 0.334
Nd2 0.833 0.666 0.666
Pu1 0.500 0.000 0.000

=====

(3)
A relaxed structure of Nd3Ho2PuTe6, computed with PBE.

- Calculated volume: 369.2 Å³/cell
- Spin magnetization: 6.1 μB/cell
- Final energy: -6.047 eV/atom

Lattice parameters (Å, degrees): 4.393 8.935 9.944 103.72 102.76 90.00
Positions (direct):
Te1 0.671 0.575 0.342
Te2 0.329 0.425 0.658
Te3 0.666 0.091 0.333
Te4 0.334 0.909 0.667
Te5 0.003 0.247 0.005
Te6 0.997 0.753 0.995
Nd1 0.500 0.500 0.000
Nd2 0.835 0.166 0.670
Nd3 0.165 0.834 0.330
Pu1 0.500 0.000 0.000
Ho1 0.163 0.328 0.327
Ho2 0.837 0.672 0.673

=====

(4)
A relaxed structure of NdHo2Pu3Te6, computed with PBE.

- Calculated volume: 364.0 Å³/cell
- Spin magnetization: 17.9 μB/cell
- Final energy: -7.536 eV/atom

Lattice parameters (Å, degrees): 4.389 8.863 9.889 103.63 102.82 90.00
Positions (direct):
Pu1 0.500 0.500 0.000
Pu2 0.836 0.168 0.672
Pu3 0.164 0.832 0.328
Te1 0.669 0.089 0.339
Te2 0.331 0.421 0.663
Te3 0.003 0.256 0.005
Te4 0.669 0.579 0.337
Te5 0.331 0.911 0.661
Te6 0.997 0.744 0.995
Ho1 0.166 0.331 0.332
Ho2 0.834 0.669 0.668
Nd1 0.500 0.000 0.000

=====

(5)
A relaxed structure of Nd4Ho3PuTe8, computed with PBE.

- Calculated volume: 491.5 Å³/cell
- Spin magnetization: 6.0 μB/cell
- Final energy: -5.843 eV/atom

Lattice parameters (Å, degrees): 8.804 8.914 8.803 119.58 120.00 90.00
Positions (direct):
Nd1 0.000 0.000 0.000
Nd2 0.500 0.000 0.000
Nd3 0.000 0.000 0.500
Nd4 0.500 0.000 0.500
Te1 0.255 0.264 0.509
Te2 0.752 0.261 0.009
Te3 0.745 0.736 0.491
Te4 0.248 0.739 0.495
Te5 0.743 0.739 0.991
Te6 0.752 0.261 0.505
Te7 0.257 0.261 0.009
Te8 0.248 0.739 0.991
Ho1 0.000 0.500 0.500
Ho2 0.500 0.500 0.500
Ho3 0.500 0.500 0.000
Pu1 0.000 0.500 0.000

=====

(6)
A relaxed structure of NdHoPu2Te5, computed with PBE.

- Calculated volume: 356.4 Å³/cell
- Spin magnetization: 11.9 μB/cell
- Final energy: -6.684 eV/atom

Lattice parameters (Å, degrees): 5.503 5.503 11.771 90.00 90.00 90.00
Positions (direct):
Pu1 0.500 0.500 0.324
Pu2 0.500 0.500 0.676
Ho1 0.000 0.000 0.500
Te1 0.500 0.500 0.000
Te2 0.500 0.000 0.500
Te3 0.000 0.000 0.751
Te4 0.000 0.500 0.500
Te5 0.000 0.000 0.249
Nd1 0.000 0.000 0.000

=====

(7)
A relaxed structure of Nd3HoPu3Te8, computed with PBE.

- Calculated volume: 499.1 Å³/cell
- Spin magnetization: 17.6 μB/cell
- Final energy: -7.106 eV/atom

Lattice parameters (Å, degrees): 8.894 8.894 8.913 119.93 90.00 120.00
Positions (direct):
Pu1 0.500 0.500 0.500
Pu2 0.500 0.000 0.500
Pu3 0.000 0.500 0.500
Te1 0.751 0.503 0.254
Te2 0.252 0.504 0.256
Te3 0.748 0.496 0.744
Te4 0.249 0.497 0.746
Te5 0.251 0.003 0.254
Te6 0.751 0.003 0.254
Te7 0.749 0.997 0.746
Te8 0.249 0.997 0.746
Nd1 0.500 0.500 0.000
Nd2 0.000 0.000 0.000
Nd3 0.000 0.500 0.000
Ho1 0.000 0.000 0.500

=====

(8)
A relaxed structure of Nd2HoPuTe5, computed with PBE.

- Calculated volume: 355.1 Å³/cell
- Spin magnetization: 5.9 μB/cell
- Final energy: -5.652 eV/atom

Lattice parameters (Å, degrees): 5.494 5.494 11.763 90.00 90.00 90.00
Positions (direct):
Te1 0.000 0.000 0.252
Te2 0.000 0.000 0.748
Te3 0.500 0.500 0.000
Te4 0.500 0.000 0.500
Te5 0.000 0.500 0.500
Pu1 0.000 0.000 0.000
Nd1 0.500 0.500 0.329
Nd2 0.500 0.500 0.671
Ho1 0.000 0.000 0.500